Record 1
CsMgBiPt | GGA-PBE | relaxed

Total magnetic moment   0.0 μB per formula unit
E   -2.8562 eV per atom
Offset from the most stable computed form   0.0121 eV per atom

CIF file:
```
data_CsMgBiPt
_chemical_formula_sum 'Cs4 Mg4 Bi4 Pt4'
_symmetry_space_group_name_H-M 'F -4 3 m'
_symmetry_Int_Tables_number 216
_symmetry_space_group_name_Hall 'F -4 2 3'
_cell_length_a 7.598
_cell_length_b 7.598
_cell_length_c 7.598
_cell_angle_alpha 90.00
_cell_angle_beta 90.00
_cell_angle_gamma 90.00
loop_
_atom_site_label
_atom_site_fract_x
_atom_site_fract_y
_atom_site_fract_z
_atom_site_occupancy
Cs1 0.000 0.000 0.000 1
Mg1 0.250 0.250 0.250 1
Bi1 0.000 0.000 0.500 1
Pt1 0.250 0.250 0.750 1
```

Record 2
TbYNp | GGA-PBE | relaxed

Energy relative to the elements   3.6 eV per formula unit
Total magnetic moment   5.7 μB per formula unit
E   -6.7452 eV per atom

CIF file:
```
data_TbYNp
_chemical_formula_sum 'Tb4 Y4 Np4'
_symmetry_space_group_name_H-M 'F -4 3 m'
_symmetry_Int_Tables_number 216
_symmetry_space_group_name_Hall 'F -4 2 3'
_cell_length_a 7.595
_cell_length_b 7.595
_cell_length_c 7.595
_cell_angle_alpha 90.00
_cell_angle_beta 90.00
_cell_angle_gamma 90.00
loop_
_atom_site_label
_atom_site_fract_x
_atom_site_fract_y
_atom_site_fract_z
_atom_site_occupancy
Tb1 0.000 0.000 0.000 1
Y1 0.250 0.250 0.750 1
Np1 0.000 0.000 0.500 1
```

Record 3
TmCdCu4 | GGA-PBE | relaxed

Energy relative to the elements   -1.5 eV per formula unit
Total magnetic moment   0.0 μB per formula unit
E   -3.6296 eV per atom

CIF file:
```
data_TmCdCu4
_chemical_formula_sum 'Tm4 Cd4 Cu16'
_symmetry_space_group_name_H-M 'F -4 3 m'
_symmetry_Int_Tables_number 216
_symmetry_space_group_name_Hall 'F -4 2 3'
_cell_length_a 7.152
_cell_length_b 7.152
_cell_length_c 7.152
_cell_angle_alpha 90.00
_cell_angle_beta 90.00
_cell_angle_gamma 90.00
loop_
_atom_site_label
_atom_site_fract_x
_atom_site_fract_y
_atom_site_fract_z
_atom_site_occupancy
Tm1 0.000 0.000 0.000 1
Cd1 0.250 0.250 0.250 1
Cu1 0.124 0.124 0.624 1
```

Record 4
DyY2Ni9 | GGA-PBE | relaxed

Energy relative to the elements   -4.9 eV per formula unit
Total magnetic moment   0.7 μB per formula unit
E   -6.0414 eV per atom

CIF file:
```
data_DyY2Ni9
_chemical_formula_sum 'Dy3 Y6 Ni27'
_symmetry_space_group_name_H-M 'R -3 m'
_symmetry_Int_Tables_number 166
_symmetry_space_group_name_Hall '-R 3 2"'
_cell_length_a 4.9505
_cell_length_b 4.9505
_cell_length_c 24.3660
_cell_angle_alpha 90.00
_cell_angle_beta 90.00
_cell_angle_gamma 120.00
loop_
_atom_site_label
_atom_site_fract_x
_atom_site_fract_y
_atom_site_fract_z
_atom_site_occupancy
Dy1 0.0000 0.0000 0.0000 1
Y1 0.0000 0.0000 0.1390 1
Ni1 0.0000 0.0000 0.3330 1
Ni2 0.0000 0.0000 0.5000 1
Ni3 0.0007 0.5004 0.9182 1
```

Record 5
NbFeIr | GGA-PBE | relaxed

Energy relative to the elements   0.5 eV per formula unit
Total magnetic moment   1.3 μB per formula unit
E   -8.9106 eV per atom

CIF file:
```
data_NbFeIr
_chemical_formula_sum 'Nb4 Fe4 Ir4'
_symmetry_space_group_name_H-M 'F -4 3 m'
_symmetry_Int_Tables_number 216
_symmetry_space_group_name_Hall 'F -4 2 3'
_cell_length_a 5.778
_cell_length_b 5.778
_cell_length_c 5.778
_cell_angle_alpha 90.00
_cell_angle_beta 90.00
_cell_angle_gamma 90.00
loop_
_atom_site_label
_atom_site_fract_x
_atom_site_fract_y
_atom_site_fract_z
_atom_site_occupancy
Nb1 0.000 0.000 0.000 1
Fe1 0.250 0.250 0.750 1
Ir1 0.000 0.000 0.500 1
```

Record 6
Zr2Os2W3 | GGA-PBE | relaxed

Energy relative to the elements   2.1 eV per formula unit
Total magnetic moment   0.0 μB per formula unit
E   -10.9022 eV per atom

CIF file:
```
data_Zr2Os2W3
_chemical_formula_sum 'Zr6 Os6 W9'
_symmetry_space_group_name_H-M 'R 3 m'
_symmetry_Int_Tables_number 160
_symmetry_space_group_name_Hall 'R 3 -2"'
_cell_length_a 4.4899
_cell_length_b 4.4899
_cell_length_c 21.7417
_cell_angle_alpha 90.00
_cell_angle_beta 90.00
_cell_angle_gamma 120.00
loop_
_atom_site_label
_atom_site_fract_x
_atom_site_fract_y
_atom_site_fract_z
_atom_site_occupancy
Zr1 0.0000 0.0000 0.0000 1
Zr2 0.0000 0.0000 0.4858 1
Os1 0.0000 0.0000 0.2445 1
Os2 0.0000 0.0000 0.7479 1
W1 0.0000 0.0000 0.3657 1
W2 0.0000 0.0000 0.6145 1
W3 0.0000 0.0000 0.8670 1
```

Record 7
NbSn2Au2 | GGA-PBE | relaxed

Total magnetic moment   0.7 μB per formula unit
E   -4.6929 eV per atom
Offset from the most stable computed form   0.0000 eV per atom

CIF file:
```
data_NbSn2Au2
_chemical_formula_sum 'Nb2 Sn4 Au4'
_symmetry_space_group_name_H-M 'I 4/m m m'
_symmetry_Int_Tables_number 139
_symmetry_space_group_name_Hall '-I 4 2'
_cell_length_a 3.838
_cell_length_b 3.838
_cell_length_c 14.313
_cell_angle_alpha 90.00
_cell_angle_beta 90.00
_cell_angle_gamma 90.00
loop_
_atom_site_label
_atom_site_fract_x
_atom_site_fract_y
_atom_site_fract_z
_atom_site_occupancy
Nb1 0.000 0.000 0.000 1
Sn1 0.000 0.000 0.401 1
Au1 0.000 0.500 0.250 1
```

Record 8
Nd3Mg3IrPd2 | GGA-PBE | relaxed

Total magnetic moment   0.0 μB per formula unit
E   -4.8703 eV per atom

CIF file:
```
data_Nd3Mg3IrPd2
_chemical_formula_sum 'Nd3 Mg3 Ir1 Pd2'
_symmetry_space_group_name_H-M 'P -6 2 m'
_symmetry_Int_Tables_number 189
_symmetry_space_group_name_Hall 'P -6 -2'
_cell_length_a 7.4902
_cell_length_b 7.4902
_cell_length_c 4.2110
_cell_angle_alpha 90.00
_cell_angle_beta 90.00
_cell_angle_gamma 120.00
loop_
_atom_site_label
_atom_site_fract_x
_atom_site_fract_y
_atom_site_fract_z
_atom_site_occupancy
Nd1 0.0000 0.4056 0.0000 1
Mg1 0.0000 0.7634 0.5000 1
Ir1 0.0000 0.0000 0.0000 1
Pd1 0.3333 0.6667 0.5000 1
```

Record 9
ThGa4Co | GGA-PBE | relaxed

Total magnetic moment   0.0 μB per formula unit
E   -4.9291 eV per atom

CIF file:
```
data_ThGa4Co
_chemical_formula_sum 'Th4 Ga16 Co4'
_symmetry_space_group_name_H-M 'C m c m'
_symmetry_Int_Tables_number 63
_symmetry_space_group_name_Hall '-C 2c 2'
_cell_length_a 4.169
_cell_length_b 15.665
_cell_length_c 6.598
_cell_angle_alpha 90.00
_cell_angle_beta 90.00
_cell_angle_gamma 90.00
loop_
_atom_site_label
_atom_site_fract_x
_atom_site_fract_y
_atom_site_fract_z
_atom_site_occupancy
Th1 0.000 0.116 0.250 1
Ga1 0.000 0.077 0.750 1
Ga2 0.000 0.310 0.055 1
Ga3 0.000 0.500 0.000 1
Co1 0.000 0.227 0.750 1
```

Record 10
Pr3Pt | GGA-PBE | relaxed

Energy relative to the elements   -2.4 eV per formula unit
Total magnetic moment   0.0 μB per formula unit
E   -5.6975 eV per atom

CIF file:
```
data_Pr3Pt
_chemical_formula_sum 'Pr12 Pt4'
_symmetry_space_group_name_H-M 'P n m a'
_symmetry_Int_Tables_number 62
_symmetry_space_group_name_Hall '-P 2ac 2n'
_cell_length_a 7.343
_cell_length_b 10.073
_cell_length_c 6.662
_cell_angle_alpha 90.00
_cell_angle_beta 90.00
_cell_angle_gamma 90.00
loop_
_atom_site_label
_atom_site_fract_x
_atom_site_fract_y
_atom_site_fract_z
_atom_site_occupancy
Pr1 0.027 0.250 0.140 1
Pr2 0.179 0.061 0.670 1
Pt1 0.117 0.750 0.431 1
```

Record 11
AgPbSO | GGA-PBE | relaxed

E   -4.3051 eV per atom
Offset from the most stable computed form   0.0332 eV per atom

CIF file:
```
data_AgPbSO
_chemical_formula_sum 'Ag8 Pb8 S8 O8'
_symmetry_space_group_name_H-M 'P -1'
_symmetry_Int_Tables_number 2
_symmetry_space_group_name_Hall '-P 1'
_cell_length_a 7.233
_cell_length_b 7.289
_cell_length_c 11.666
_cell_angle_alpha 89.99
_cell_angle_beta 89.96
_cell_angle_gamma 90.00
loop_
_atom_site_label
_atom_site_fract_x
_atom_site_fract_y
_atom_site_fract_z
_atom_site_occupancy
Ag1 0.001 0.250 0.014 1
Ag2 0.001 0.250 0.516 1
Ag3 0.498 0.750 0.516 1
Ag4 0.499 0.750 0.015 1
Pb1 0.201 0.530 0.246 1
Pb2 0.201 0.969 0.746 1
Pb3 0.298 0.030 0.246 1
Pb4 0.299 0.469 0.746 1
S1 0.250 0.502 0.995 1
S2 0.250 0.998 0.495 1
S3 0.251 0.002 0.994 1
S4 0.251 0.498 0.495 1
O1 0.034 0.267 0.740 1
O2 0.036 0.233 0.239 1
O3 0.464 0.732 0.239 1
O4 0.465 0.768 0.740 1
```

Record 12
Nb3MoN | GGA-PBE | relaxed

Total magnetic moment   0.0 μB per formula unit
E   -10.1700 eV per atom

CIF file:
```
data_Nb3MoN
_chemical_formula_sum 'Nb3 Mo1 N1'
_symmetry_space_group_name_H-M 'P m -3 m'
_symmetry_Int_Tables_number 221
_symmetry_space_group_name_Hall '-P 4 2 3'
_cell_length_a 4.269
_cell_length_b 4.269
_cell_length_c 4.269
_cell_angle_alpha 90.00
_cell_angle_beta 90.00
_cell_angle_gamma 90.00
loop_
_atom_site_label
_atom_site_fract_x
_atom_site_fract_y
_atom_site_fract_z
_atom_site_occupancy
Nb1 0.000 0.000 0.500 1
Mo1 0.500 0.500 0.500 1
N1 0.000 0.000 0.000 1
```